A relaxed LiPbI crystal, computed with PBE-GGA.

The value obtained for the energy relative to the elements, uncorrected is -0.36 eV per atom. The value obtained for the raw total energy is -2.75 eV/atom.

The structure belongs to space group P3m1 (No. 156); the cell edges are 3.9351, 3.9351 and 6.9591 Å and the angles 90.00°, 90.00° and 120.00°. The asymmetric unit holds Li at (0.0000, 0.0000, 0.0000), Pb at (0.3333, 0.6667, 0.6284) and I at (0.6667, 0.3333, 0.2089).

=====

A relaxed Ti5SiH crystal, computed with PBE-GGA.

The value obtained for the raw total energy is -7.19 eV/atom.

The structure belongs to space group C2/c (No. 15); the cell edges are 8.8795, 5.3418 and 8.7422 Å and the angles 90.00°, 105.01° and 90.00°. The asymmetric unit holds Ti at (0.0000, 0.0164, 0.2500), Ti at (0.1119, 0.2942, 0.0300), Ti at (0.2216, 0.2140, 0.6490), Si at (0.0000, 0.4817, 0.7500) and H at (0.0000, 0.0000, 0.0000).

=====

A relaxed BeAs2Pd2 crystal, computed with PBE-GGA.

The value obtained for the distance to the lowest polymorph of the same formula is 0.0 meV per atom. The value obtained for the raw total energy is -4.73 eV/atom. Its formation energy is -0.050 eV/atom.

The structure belongs to space group P4/mbm (No. 127); the cell edges are 6.2120, 6.2120 and 4.1727 Å and the angles 90.00°, 90.00° and 90.00°. The asymmetric unit holds Be at (0.0000, 0.0000, 0.0000), As at (0.1563, 0.3437, 0.5000) and Pd at (0.1624, 0.6624, 0.0000).

=====

A relaxed Rb3PrU3Se8 crystal, computed with PBE-GGA.

The value obtained for the energy relative to the elements, uncorrected is -1.35 eV per atom. The value obtained for the raw total energy is -5.98 eV/atom.

The structure belongs to space group R-3m (No. 166, hexagonal axes); the cell edges are 8.4968, 8.4968 and 24.4134 Å and the angles 90.00°, 90.00° and 120.00°. The asymmetric unit holds Rb at (0.0000, 0.5000, 0.0000), Pr at (0.0000, 0.0000, 0.5000), U at (0.0000, 0.5000, 0.5000), Se at (0.0000, 0.0000, 0.2319) and Se at (0.0108, 0.5054, 0.7679).

=====

A relaxed Ac3SeS3 crystal, computed with PBE-GGA.

The value obtained for the energy relative to the elements, uncorrected is -1.91 eV per atom. The value obtained for the distance to the lowest polymorph of the same formula is 148.1 meV per atom. The value obtained for the raw total energy is -5.94 eV/atom.

The structure belongs to space group C2/m (No. 12); the cell edges are 10.2510, 12.2812 and 8.0936 Å and the angles 90.00°, 113.28° and 90.00°. The asymmetric unit holds Ac at (0.0019, 0.1475, 0.2486), Ac at (0.0156, 0.5000, 0.7572), Se at (0.1828, 0.0000, 0.5928), S at (0.0000, 0.3199, 0.5000), S at (0.0000, 0.3207, 0.0000) and S at (0.1699, 0.0000, 0.0839).

=====

A relaxed GdScPa crystal, computed with PBE-GGA.

The value obtained for the distance to the lowest polymorph of the same formula is 33.2 meV per atom. The value obtained for the raw total energy is -9.83 eV/atom. Its formation energy is 0.135 eV/atom.

The structure belongs to space group I4mm (No. 107); the cell edges are 3.3109, 3.3109 and 14.7074 Å and the angles 90.00°, 90.00° and 90.00°. The asymmetric unit holds Gd at (0.0000, 0.0000, 0.0000), Sc at (0.0000, 0.0000, 0.3176) and Pa at (0.0000, 0.0000, 0.6649).

=====

A relaxed TaCrAg2 crystal, computed with PBE-GGA.

The value obtained for the distance to the lowest polymorph of the same formula is 182.3 meV per atom. The value obtained for the raw total energy is -6.30 eV/atom. Its formation energy is 0.491 eV/atom.

The structure belongs to space group Pmmm (No. 47); the cell edges are 3.1913, 4.3246 and 4.8127 Å and the angles 90.00°, 90.00° and 90.00°. The asymmetric unit holds Ta at (0.0000, 0.0000, 0.0000), Cr at (0.5000, 0.5000, 0.0000), Ag at (0.0000, 0.5000, 0.5000) and Ag at (0.5000, 0.0000, 0.5000).

=====

A relaxed HfAlB crystal, computed with PBE-GGA.

The value obtained for the distance to the lowest polymorph of the same formula is 0.0 meV per atom. The value obtained for the raw total energy is -7.35 eV/atom. Its formation energy is -0.557 eV/atom.

The structure belongs to space group Cmcm (No. 63); the cell edges are 3.4589, 15.5124 and 3.1574 Å and the angles 90.00°, 90.00° and 90.00°. The asymmetric unit holds Hf at (0.0000, 0.0867, 0.2500), Al at (0.0000, 0.2986, 0.2500) and B at (0.0000, 0.4744, 0.2500).

=====

Which of these has the lowest raw total energy? GdScPa

=====

Among the records above, which one has the lowest raw total energy? GdScPa

=====

Which of these has the highest raw total energy? LiPbI

=====

Repeat the fourth record exactly.
A relaxed Rb3PrU3Se8 crystal, computed with PBE-GGA.

The value obtained for the energy relative to the elements, uncorrected is -1.35 eV per atom. The value obtained for the raw total energy is -5.98 eV/atom.

The structure belongs to space group R-3m (No. 166, hexagonal axes); the cell edges are 8.4968, 8.4968 and 24.4134 Å and the angles 90.00°, 90.00° and 120.00°. The asymmetric unit holds Rb at (0.0000, 0.5000, 0.0000), Pr at (0.0000, 0.0000, 0.5000), U at (0.0000, 0.5000, 0.5000), Se at (0.0000, 0.0000, 0.2319) and Se at (0.0108, 0.5054, 0.7679).